Entry 1:
# GGA-PBE SiP2CS, relaxed
# * volume: 87 Å³/cell
# * E_form (uncorrected): 185 kJ per mole of atoms
data_SiP2CS
_chemical_formula_sum 'Si1 P2 C1 S1'
_cell_length_a 4.489
_cell_length_b 4.489
_cell_length_c 4.337
_cell_angle_alpha 90.00
_cell_angle_beta 90.00
_cell_angle_gamma 90.00
_symmetry_space_group_name_H-M 'P 4/m m m'
_symmetry_Int_Tables_number 123
_symmetry_space_group_name_Hall '-P 4 2'
loop_
_atom_site_label
_atom_site_fract_x
_atom_site_fract_y
_atom_site_fract_z
Si1 0.000 0.000 0.000
P1 0.000 0.500 0.000
C1 0.500 0.500 0.500
S1 0.000 0.000 0.500

=====

Entry 2:
# GGA-PBE SiPCS2, relaxed
# * volume: 89 Å³/cell
# * E_form (uncorrected): 173 kJ per mole of atoms
data_SiPCS2
_chemical_formula_sum 'Si1 P1 C1 S2'
_cell_length_a 4.404
_cell_length_b 4.404
_cell_length_c 4.590
_cell_angle_alpha 90.00
_cell_angle_beta 90.00
_cell_angle_gamma 90.00
_symmetry_space_group_name_H-M 'P 4/m m m'
_symmetry_Int_Tables_number 123
_symmetry_space_group_name_Hall '-P 4 2'
loop_
_atom_site_label
_atom_site_fract_x
_atom_site_fract_y
_atom_site_fract_z
Si1 0.000 0.000 0.000
P1 0.000 0.000 0.500
C1 0.500 0.500 0.500
S1 0.000 0.500 0.000

=====

Entry 3:
# GGA-PBE SiP2CS, relaxed
# * volume: 68 Å³/cell
# * E_form (uncorrected): 117 kJ per mole of atoms
data_SiP2CS
_chemical_formula_sum 'Si1 P2 C1 S1'
_cell_length_a 3.962
_cell_length_b 3.962
_cell_length_c 4.337
_cell_angle_alpha 90.00
_cell_angle_beta 90.00
_cell_angle_gamma 90.00
_symmetry_space_group_name_H-M 'P 4/m m m'
_symmetry_Int_Tables_number 123
_symmetry_space_group_name_Hall '-P 4 2'
loop_
_atom_site_label
_atom_site_fract_x
_atom_site_fract_y
_atom_site_fract_z
Si1 0.000 0.000 0.000
P1 0.000 0.500 0.500
C1 0.500 0.500 0.500
S1 0.500 0.500 0.000

=====

Entry 4:
# GGA-PBE Sm6PC2S3, relaxed
# * volume: 522 Å³/cell
# * E_form (uncorrected): -135 kJ per mole of atoms
data_Sm6PC2S3
_chemical_formula_sum 'Sm12 P2 C4 S6'
_cell_length_a 17.275
_cell_length_b 3.904
_cell_length_c 7.996
_cell_angle_alpha 90.00
_cell_angle_beta 104.38
_cell_angle_gamma 90.00
_symmetry_space_group_name_H-M 'C 1 2/m 1'
_symmetry_Int_Tables_number 12
_symmetry_space_group_name_Hall '-C 2y'
loop_
_atom_site_label
_atom_site_fract_x
_atom_site_fract_y
_atom_site_fract_z
Sm1 0.013 0.000 0.255
Sm2 0.169 0.500 0.113
Sm3 0.175 0.500 0.565
P1 0.000 0.500 0.000
C1 0.169 0.000 0.336
S1 0.000 0.500 0.500
S2 0.164 0.000 0.832